Entry 1:
DFT (GGA-PBE) results for a geometry-optimized Ho2NbGa2 structure. Values from VASP.

Output
E = -5.374 eV/atom

```
&SYSTEM
  ibrav = 0, nat = 10, ntyp = 3
/
ATOMIC_SPECIES
Ga 69.72 Ga.upf
Ho 164.93 Ho.upf
Nb 92.91 Nb.upf
ATOMIC_POSITIONS crystal
Ga 0.627 0.127 0.000
Ho 0.678 0.822 0.500
Ga 0.127 0.373 0.000
Nb 0.000 0.000 0.000
Ga 0.873 0.627 0.000
Nb 0.500 0.500 0.000
Ho 0.322 0.178 0.500
Ho 0.178 0.678 0.500
Ho 0.822 0.322 0.500
Ga 0.373 0.873 0.000
CELL_PARAMETERS angstrom
-3.528 4.117 -4.812
-6.235 -1.291 3.466
0.645 3.381 2.419
```


Entry 2:
DFT (GGA-PBE) results for a geometry-optimized NaLaFeMo structure. Values from VASP.

Output
E = -5.454 eV/atom
ΔE to the lowest computed polymorph = 0.067 eV/f.u.

```
&SYSTEM
  ibrav = 0, nat = 4, ntyp = 4
/
ATOMIC_SPECIES
Mo 95.94 Mo.upf
La 138.91 La.upf
Fe 55.84 Fe.upf
Na 22.99 Na.upf
ATOMIC_POSITIONS crystal
Mo 0.000 0.000 0.000
La 0.500 0.500 0.500
Fe 0.250 0.250 0.250
Na 0.750 0.750 0.750
CELL_PARAMETERS angstrom
-3.514 0.809 3.219
-4.283 -2.183 -0.498
-1.307 -3.489 3.079
```


Entry 3:
DFT (GGA-PBE) results for a geometry-optimized DyYAl structure. Values from VASP.

Output
E = -4.414 eV/atom

```
&SYSTEM
  ibrav = 0, nat = 3, ntyp = 3
/
ATOMIC_SPECIES
Al 26.98 Al.upf
Dy 162.50 Dy.upf
Y 88.91 Y.upf
ATOMIC_POSITIONS crystal
Al 0.250 0.250 0.250
Dy 0.750 0.750 0.750
Y 0.000 0.000 0.000
CELL_PARAMETERS angstrom
4.503 -1.669 -1.639
0.899 -4.984 -0.308
0.378 -2.234 -4.540
```


Entry 4:
DFT (GGA-PBE) results for a geometry-optimized Co4GePC2 structure. Values from VASP.

Output
E = -6.968 eV/atom

```
&SYSTEM
  ibrav = 0, nat = 8, ntyp = 4
/
ATOMIC_SPECIES
C 12.01 C.upf
P 30.97 P.upf
Co 58.93 Co.upf
Ge 72.64 Ge.upf
ATOMIC_POSITIONS crystal
C 0.667 0.333 0.742
P 0.333 0.667 0.500
Co 0.333 0.667 0.177
Ge 0.000 0.000 0.000
Co 0.333 0.667 0.823
Co 0.000 0.000 0.351
C 0.667 0.333 0.258
Co 0.000 0.000 0.649
CELL_PARAMETERS angstrom
-2.567 -0.304 1.407
1.015 -2.179 -1.698
5.268 -4.312 8.681
```


Number 1: total moment 1.4 μB per formula unit. Number 2: total moment 3.7 μB per formula unit. Number 3: total moment 0.0 μB per formula unit. Number 4: total moment 0.0 μB per formula unit.